--- w ---
# ZnTcBr2

A relaxed structure of ZnTcBr2 (PBEsol, Alexandria).

POSCAR file:
```
ZnTcBr2
1.0
-3.3311 -3.1556 -0.2820
3.2884 0.1621 -3.2084
3.2086 -0.3330 3.2753
Br Zn Tc
2 1 1
Direct
0.5000 0.2500 0.7500
0.5000 0.7500 0.2500
0.0000 0.5000 0.5000
0.0000 0.0000 0.0000
```

--- x ---
# ZnTcBr2

A relaxed structure of ZnTcBr2 (PBEsol, Alexandria).

POSCAR file:
```
ZnTcBr2
1.0
3.0595 0.0000 0.0000
-1.5297 2.8613 0.0000
0.0000 0.0000 9.4964
Br Zn Tc
2 1 1
Direct
0.0000 0.0000 0.2921
0.0000 0.0000 0.7079
0.5000 0.0000 0.0000
0.5000 0.0000 0.5000
```

--- y ---
# ZnTcBr2

A relaxed structure of ZnTcBr2 (PBEsol, Alexandria).

POSCAR file:
```
ZnTcBr2
1.0
4.8403 0.0000 0.0000
2.4202 4.1918 0.0000
2.4202 1.3973 3.9521
Br Zn Tc
2 1 1
Direct
0.7500 0.7500 0.7500
0.0000 0.0000 0.0000
0.2500 0.2500 0.2500
0.5000 0.5000 0.5000
```

--- z ---
# ZnTcBr2

A relaxed structure of ZnTcBr2 (PBEsol, Alexandria).

POSCAR file:
```
ZnTcBr2
1.0
3.1552 0.0000 0.0000
0.0000 4.6888 0.0847
0.0000 -0.6653 4.6421
Br Tc Zn
2 1 1
Direct
0.0000 0.0000 0.5000
0.0000 0.5000 0.0000
0.5000 0.0000 0.0000
0.5000 0.5000 0.5000
```

Which structure is most stable? x, by 216 meV per atom over the runner-up.

--- w ---
# ZrTcBr2

A relaxed structure of ZrTcBr2 (PBEsol, Alexandria).

POSCAR file:
```
ZrTcBr2
1.0
3.5270 0.0000 0.0000
0.0000 3.5266 0.0000
0.0000 0.0000 7.1100
Br Tc Zr
2 1 1
Direct
0.0000 0.0000 0.9184
0.5000 0.5000 0.3178
0.0000 0.0000 0.5567
0.5000 0.5000 0.7071
```

--- x ---
# ZrTcBr2

A relaxed structure of ZrTcBr2 (PBEsol, Alexandria).

POSCAR file:
```
ZrTcBr2
1.0
-0.3013 -3.0052 -0.7879
3.0902 -0.2083 -0.3874
0.8598 -2.1932 8.0368
Tc Br Zr
1 2 1
Direct
0.0000 0.0000 0.4947
0.0000 0.0000 0.9480
0.5000 0.5000 0.3230
0.5000 0.5000 0.7343
```

--- y ---
# ZrTcBr2

A relaxed structure of ZrTcBr2 (PBEsol, Alexandria).

POSCAR file:
```
ZrTcBr2
1.0
3.0974 0.0000 0.0000
0.0000 4.4487 0.0000
0.0000 0.0000 5.6091
Br Tc Zr
2 1 1
Direct
0.0000 0.0000 0.0000
0.5000 0.0000 0.5000
0.5000 0.5000 0.0000
0.0000 0.5000 0.5000
```

Which structure is most stable? x, by 33 meV per atom over the runner-up.

--- w ---
# TeBr2

A relaxed structure of TeBr2 (PBEsol, Alexandria).

POSCAR file:
```
TeBr2
1.0
-0.8631 2.6290 -2.9181
-3.2456 -5.2435 -3.7640
-7.3388 -2.1233 3.0288
Br Te
4 2
Direct
0.0088 0.9388 0.0176
0.2889 0.2107 0.5779
0.3751 0.6467 0.7503
0.5771 0.2826 0.1542
0.7336 0.9950 0.4671
0.1831 0.7596 0.3662
```

--- x ---
# TeBr2

A relaxed structure of TeBr2 (PBEsol, Alexandria).

POSCAR file:
```
TeBr2
1.0
4.8465 0.0000 0.0000
-2.4232 4.1972 0.0000
0.0000 0.0000 4.1225
Br Te
2 1
Direct
0.3333 0.6667 0.2507
0.6667 0.3333 0.7493
0.0000 0.0000 0.0000
```

Which structure is most stable? w, by 303 meV per atom over the runner-up.

--- w ---
# Te5Br

A relaxed structure of Te5Br (PBEsol, Alexandria).

POSCAR file:
```
Te5Br
1.0
6.1957 0.0000 0.0000
3.0979 5.3657 0.0000
3.0979 1.7886 5.0588
Te Br
5 1
Direct
0.6236 0.1291 0.6236
0.6236 0.6236 0.1291
0.6236 0.6236 0.6236
0.2500 0.2500 0.2500
0.1291 0.6236 0.6236
0.0000 0.0000 0.0000
```

--- x ---
# Te5Br

A relaxed structure of Te5Br (PBEsol, Alexandria).

POSCAR file:
```
Te5Br
1.0
4.0849 0.0000 0.0000
-2.0424 6.6418 -0.0864
0.0000 -3.0629 7.4853
Br Te
1 5
Direct
0.9960 0.9919 0.0155
0.0497 0.0994 0.5554
0.3893 0.7785 0.6180
0.7211 0.4422 0.6188
0.6730 0.3460 0.1245
0.3376 0.6753 0.2345
```

Which structure is most stable? x, by 272 meV per atom over the runner-up.

--- w ---
# Te2Br

A relaxed structure of Te2Br (PBEsol, Alexandria).

POSCAR file:
```
Te2Br
1.0
3.9586 0.0000 0.0000
-1.9793 6.7980 -0.6315
0.0000 -1.3415 7.0607
Br Te
2 4
Direct
0.3568 0.7135 0.6960
0.6432 0.2865 0.3040
0.0282 0.0565 0.7608
0.6816 0.3632 0.8058
0.3184 0.6368 0.1942
0.9718 0.9435 0.2392
```

--- x ---
# Te2Br

A relaxed structure of Te2Br (PBEsol, Alexandria).

POSCAR file:
```
Te2Br
1.0
3.9957 0.0000 0.0000
0.0000 12.9668 0.0000
0.0000 0.0000 14.9696
Br Te
8 16
Direct
0.7500 0.6251 0.8385
0.7500 0.8978 0.0565
0.2500 0.1022 0.9435
0.2500 0.3978 0.4435
0.2500 0.1251 0.6615
0.2500 0.3749 0.1615
0.7500 0.8749 0.3385
0.7500 0.6022 0.5565
0.2500 0.4201 0.9132
0.7500 0.5799 0.0868
0.7500 0.2360 0.4266
0.7500 0.5543 0.2870
0.7500 0.9457 0.7870
0.2500 0.7954 0.8174
0.2500 0.7360 0.0734
0.7500 0.2046 0.1826
0.7500 0.2640 0.9266
0.2500 0.7046 0.3174
0.2500 0.0543 0.2130
0.2500 0.0799 0.4132
0.7500 0.2954 0.6826
0.2500 0.4457 0.7130
0.7500 0.9201 0.5868
0.2500 0.7640 0.5734
```

Which structure is most stable? x, by 54 meV per atom over the runner-up.

--- w ---
# TlTe2Br

A relaxed structure of TlTe2Br (PBEsol, Alexandria).

POSCAR file:
```
TlTe2Br
1.0
-2.3292 -1.9766 4.3628
1.6314 -4.6528 2.0139
2.6561 -0.1195 4.6149
Te Tl Br
2 1 1
Direct
0.2500 0.2500 0.2500
0.7500 0.7500 0.7500
0.5000 0.5000 0.5000
0.0000 0.0000 0.0000
```

--- x ---
# TlTe2Br

A relaxed structure of TlTe2Br (PBEsol, Alexandria).

POSCAR file:
```
TlTe2Br
1.0
3.0951 0.0000 0.0000
0.0000 3.0951 0.0000
0.0000 0.0000 12.4055
Te Br Tl
2 1 1
Direct
0.0000 0.0000 0.2304
0.0000 0.0000 0.7696
0.5000 0.5000 0.5000
0.5000 0.5000 0.0000
```

Which structure is most stable? x, by 143 meV per atom over the runner-up.